Er3Pd2 at its PBEsol-relaxed geometry. Source: Alexandria via LeMat-Bulk, functional SCAN. Values from VASP.

As for the calculated formation energy: -0.854 eV per atom. The space group is P4/mbm, No. 127. The value obtained for the density of states at the Fermi level is 0.647 states/eV/atom.

Geometry as Quantum ESPRESSO input:
```
&SYSTEM
  ibrav = 0, nat = 10, ntyp = 2
/
ATOMIC_SPECIES
Er 167.26 Er.upf
Pd 106.42 Pd.upf
CELL_PARAMETERS angstrom
7.580 0.000 0.000
0.000 7.580 0.000
0.000 0.000 3.867
ATOMIC_POSITIONS crystal
Er 0.000 0.000 0.000
Er 0.165 0.335 0.500
Er 0.335 0.835 0.500
Er 0.500 0.500 0.000
Er 0.665 0.165 0.500
Er 0.835 0.665 0.500
Pd 0.133 0.633 0.000
Pd 0.367 0.133 0.000
Pd 0.633 0.867 0.000
Pd 0.867 0.367 0.000
```

Pm3Al at its PBEsol-relaxed geometry. Source: Alexandria via LeMat-Bulk, functional SCAN. Values from VASP.

The calculation puts the polymorph energy (0 for the lowest one) at 0.0233 eV/atom. As for the calculated formation energy: -0.211 eV per atom. The space group is Pm-3m, No. 221. The value obtained for the density of states at the Fermi level is 1.126 states/eV/atom.

Geometry as Quantum ESPRESSO input:
```
&SYSTEM
  ibrav = 0, nat = 4, ntyp = 2
/
ATOMIC_SPECIES
Pm 145.00 Pm.upf
Al 26.98 Al.upf
CELL_PARAMETERS angstrom
4.780 0.000 0.000
0.000 4.780 0.000
0.000 0.000 4.780
ATOMIC_POSITIONS crystal
Pm 0.000 0.000 0.500
Pm 0.000 0.500 0.000
Pm 0.500 0.000 0.000
Al 0.500 0.500 0.500
```

LaMg2TaCu at its PBEsol-relaxed geometry. Source: Alexandria via LeMat-Bulk, functional SCAN. Values from VASP.

As for the calculated formation energy: 2.032 eV per atom. The space group is P4/mmm, No. 123. The value obtained for the density of states at the Fermi level is 0.850 states/eV/atom.

Geometry as Quantum ESPRESSO input:
```
&SYSTEM
  ibrav = 0, nat = 5, ntyp = 4
/
ATOMIC_SPECIES
La 138.91 La.upf
Mg 24.30 Mg.upf
Ta 180.95 Ta.upf
Cu 63.55 Cu.upf
CELL_PARAMETERS angstrom
5.591 0.000 0.000
0.000 5.591 0.000
0.000 0.000 5.027
ATOMIC_POSITIONS crystal
La 0.000 0.000 0.000
Mg 0.000 0.500 0.000
Mg 0.500 0.000 0.000
Ta 0.000 0.000 0.500
Cu 0.500 0.500 0.500
```

ZrSi2Rh at its PBEsol-relaxed geometry. Source: Alexandria via LeMat-Bulk, functional SCAN. Values from VASP.

The space group is F-43m, No. 216. The calculation puts the electronic total energy at -21.41 eV/atom. The value obtained for the density of states at the Fermi level is 0.974 states/eV/atom.

Geometry as Quantum ESPRESSO input:
```
&SYSTEM
  ibrav = 0, nat = 4, ntyp = 3
/
ATOMIC_SPECIES
Zr 91.22 Zr.upf
Si 28.09 Si.upf
Rh 102.91 Rh.upf
CELL_PARAMETERS angstrom
0.000 3.144 3.144
3.144 0.000 3.144
3.144 3.144 0.000
ATOMIC_POSITIONS crystal
Zr 0.000 0.000 0.000
Si 0.250 0.250 0.250
Si 0.500 0.500 0.500
Rh 0.750 0.750 0.750
```

Cu2WBr at its PBEsol-relaxed geometry. Source: Alexandria via LeMat-Bulk, functional SCAN. Values from VASP.

The space group is P2/m, No. 10. The calculation puts the electronic total energy at -28.83 eV/atom. The value obtained for the density of states at the Fermi level is 0.785 states/eV/atom.

Geometry as Quantum ESPRESSO input:
```
&SYSTEM
  ibrav = 0, nat = 4, ntyp = 3
/
ATOMIC_SPECIES
Cu 63.55 Cu.upf
W 183.84 W.upf
Br 79.90 Br.upf
CELL_PARAMETERS angstrom
4.497 0.000 0.000
0.000 2.827 0.000
-1.654 0.000 4.614
ATOMIC_POSITIONS crystal
Cu 0.000 0.000 0.000
Cu 0.500 0.500 0.000
W 0.000 0.500 0.500
Br 0.500 0.000 0.500
```

FeCo2Os at its PBEsol-relaxed geometry. Source: Alexandria via LeMat-Bulk, functional SCAN. Values from VASP.

The calculation puts the polymorph energy (0 for the lowest one) at 0.0296 eV/atom. As for the calculated formation energy: 0.164 eV per atom. The space group is Cmmm, No. 65. The value obtained for the density of states at the Fermi level is 0.790 states/eV/atom.

Geometry as Quantum ESPRESSO input:
```
&SYSTEM
  ibrav = 0, nat = 4, ntyp = 3
/
ATOMIC_SPECIES
Fe 55.84 Fe.upf
Co 58.93 Co.upf
Os 190.23 Os.upf
CELL_PARAMETERS angstrom
1.383 -2.117 0.000
1.383 2.117 0.000
0.000 0.000 8.120
ATOMIC_POSITIONS crystal
Fe 0.000 0.000 0.000
Co 0.500 0.500 0.237
Co 0.500 0.500 0.763
Os 0.000 0.000 0.500
```